Entry 1:
Material: Li2La2Mo
Method: DFT, PBE-GGA
State: relaxed

Summary:
- N(E_F): 11.5 states/eV/cell
- ΔE_f: 1.7 eV/f.u.
- Energy: -45.71 eV/cell
- Magnetic moment: 0.00 μB per formula unit
- Polymorph energy (0 for the lowest one): 0 meV per atom

Cell: 3.623 3.623 19.776 Å, 90.00 90.00 90.00°
Fractional coordinates of all 10 atoms:
1 Li 0.000 0.500 0.250
2 Li 0.000 0.500 0.750
3 Li 0.500 0.000 0.250
4 Li 0.500 0.000 0.750
5 La 0.000 0.000 0.090
6 La 0.000 0.000 0.910
7 La 0.500 0.500 0.410
8 La 0.500 0.500 0.590
9 Mo 0.000 0.000 0.500
10 Mo 0.500 0.500 0.000

---

Entry 2:
Material: UFe2Tc
Method: DFT, PBE-GGA
State: relaxed

Summary:
- N(E_F): 17.8 states/eV/cell
- ΔE_f: 0.4 eV/f.u.
- Energy: -114.63 eV/cell
- Magnetic moment: 0.00 μB per formula unit
- Polymorph energy (0 for the lowest one): 101 meV per atom

Cell: 4.489 4.489 10.318 Å, 90.00 90.00 120.00°
Fractional coordinates of all 12 atoms:
1 U 0.000 0.000 0.000
2 U 0.333 0.667 0.667
3 U 0.667 0.333 0.333
4 Fe 0.000 0.000 0.211
5 Fe 0.000 0.000 0.789
6 Fe 0.333 0.667 0.455
7 Fe 0.333 0.667 0.878
8 Fe 0.667 0.333 0.122
9 Fe 0.667 0.333 0.545
10 Tc 0.000 0.000 0.500
11 Tc 0.333 0.667 0.167
12 Tc 0.667 0.333 0.833

---

Entry 3:
Material: CdReSn3
Method: DFT, PBE-GGA
State: relaxed

Summary:
- N(E_F): 6.3 states/eV/cell
- ΔE_f: 1.7 eV/f.u.
- Energy: -23.70 eV/cell
- Magnetic moment: 0.00 μB per formula unit
- Polymorph energy (0 for the lowest one): 0 meV per atom

Cell: 5.236 5.236 5.236 Å, 90.00 90.00 90.00°
Fractional coordinates of all 5 atoms:
1 Cd 0.000 0.000 0.000
2 Re 0.500 0.500 0.500
3 Sn 0.000 0.500 0.500
4 Sn 0.500 0.000 0.500
5 Sn 0.500 0.500 0.000

---

Entry 4:
Material: MnTl2CrBr6
Method: DFT, PBE-GGA
State: relaxed

Summary:
- N(E_F): 2.2 states/eV/cell
- Energy: -40.84 eV/cell
- Magnetic moment: 9.00 μB per formula unit
- Raw formation energy: -70.3 kJ per mole of atoms

Cell: 7.436 7.436 7.436 Å, 60.71 60.71 60.71°
Fractional coordinates of all 10 atoms:
1 Mn 0.000 0.000 0.000
2 Tl 0.250 0.250 0.250
3 Tl 0.750 0.750 0.750
4 Cr 0.500 0.500 0.500
5 Br 0.200 0.301 0.750
6 Br 0.250 0.800 0.699
7 Br 0.301 0.750 0.200
8 Br 0.699 0.250 0.800
9 Br 0.750 0.200 0.301
10 Br 0.800 0.699 0.250

---

Entry 5:
Material: Tm2SiSe
Method: DFT, PBE-GGA
State: relaxed

Summary:
- N(E_F): 3.1 states/eV/cell
- Energy: -68.70 eV/cell
- Magnetic moment: 0.00 μB per formula unit
- Raw formation energy: -121.8 kJ per mole of atoms
- Polymorph energy (0 for the lowest one): 9 meV per atom

Cell: 4.049 4.049 20.110 Å, 90.00 90.00 120.00°
Fractional coordinates of all 12 atoms:
1 Tm 0.000 0.000 0.245
2 Tm 0.000 0.000 0.755
3 Tm 0.333 0.667 0.422
4 Tm 0.333 0.667 0.911
5 Tm 0.667 0.333 0.089
6 Tm 0.667 0.333 0.578
7 Si 0.000 0.000 0.500
8 Si 0.333 0.667 0.167
9 Si 0.667 0.333 0.833
10 Se 0.000 0.000 0.000
11 Se 0.333 0.667 0.667
12 Se 0.667 0.333 0.333

---

Entry 6:
Material: AlAs2P
Method: DFT, PBE-GGA
State: relaxed

Summary:
- N(E_F): 3.4 states/eV/cell
- ΔE_f: 0.7 eV/f.u.
- Energy: -35.50 eV/cell
- Magnetic moment: 0.00 μB per formula unit
- Polymorph energy (0 for the lowest one): 253 meV per atom

Cell: 3.188 3.531 13.606 Å, 90.00 90.00 90.00°
Fractional coordinates of all 8 atoms:
1 Al 0.000 0.000 0.000
2 Al 0.500 0.500 0.500
3 As 0.000 0.000 0.591
4 As 0.000 0.500 0.777
5 As 0.500 0.000 0.277
6 As 0.500 0.500 0.091
7 P 0.000 0.500 0.353
8 P 0.500 0.000 0.853

---

Entry 7:
Material: AgPd6Au2
Method: DFT, PBE-GGA
State: relaxed

Summary:
- N(E_F): 13.2 states/eV/cell
- ΔE_f: 1.0 eV/f.u.
- Energy: -39.53 eV/cell
- Magnetic moment: 0.00 μB per formula unit
- Polymorph energy (0 for the lowest one): 156 meV per atom

Cell: 7.349 7.349 7.349 Å, 144.46 136.92 57.04°
Fractional coordinates of all 9 atoms:
1 Ag 0.000 0.000 0.000
2 Pd 0.142 0.397 0.745
3 Pd 0.208 0.208 0.000
4 Pd 0.347 0.603 0.745
5 Pd 0.653 0.397 0.255
6 Pd 0.792 0.792 0.000
7 Pd 0.858 0.603 0.255
8 Au 0.333 0.833 0.500
9 Au 0.667 0.167 0.500

---

Entry 8:
Material: CeTm2Te
Method: DFT, PBE-GGA
State: relaxed

Summary:
- N(E_F): 21.6 states/eV/cell
- Energy: -59.08 eV/cell
- Magnetic moment: 1.86 μB per formula unit
- Raw formation energy: -40.4 kJ per mole of atoms
- Polymorph energy (0 for the lowest one): 75 meV per atom

Cell: 3.793 3.793 29.814 Å, 90.00 90.00 120.00°
Fractional coordinates of all 12 atoms:
1 Ce 0.000 0.000 0.000
2 Ce 0.333 0.667 0.667
3 Ce 0.667 0.333 0.333
4 Tm 0.000 0.000 0.238
5 Tm 0.000 0.000 0.428
6 Tm 0.333 0.667 0.095
7 Tm 0.333 0.667 0.905
8 Tm 0.667 0.333 0.571
9 Tm 0.667 0.333 0.761
10 Te 0.000 0.000 0.833
11 Te 0.333 0.667 0.500
12 Te 0.667 0.333 0.166